(1)
VASP calculation (GGA-PBEsol) on an optimized crystal structure of CrHgPb2O6.

Structure (extended XYZ):
```
20
Lattice="6.472 0.015 0.023 -2.451 6.709 -0.215 -0.456 -0.528 7.741" Properties=species:S:1:pos:R:3 pbc="T T T"
Pb 4.469 1.430 4.601
Pb -0.836 4.632 6.563
Pb 4.400 1.563 0.986
Pb -0.904 4.765 2.948
Cr 0.995 1.211 6.452
Cr 2.569 4.985 1.097
Hg 1.186 1.793 2.730
Hg 2.378 4.402 4.819
O -0.744 2.403 2.777
O 4.309 3.792 4.771
O 0.451 4.946 4.762
O 1.635 5.109 7.397
O 1.273 4.244 1.794
O 0.479 -0.025 5.493
O -0.279 2.268 6.627
O 1.929 1.086 0.152
O 3.113 1.250 2.787
O 3.085 6.220 2.056
O 3.843 3.928 0.922
O 2.291 1.952 5.754
```

Computed properties:
The calculation puts the magnetic moment at 0.00 μB per formula unit. Its total energy is -6.33 eV per atom. As for the uncorrected formation energy: -1300.7 meV per atom. The value obtained for the theoretical density is 7.5 Mg/m³. As for the density of states at the Fermi level: 0.00 states/eV per cell. The calculated volume is 16.79 A^3/atom.

(2)
VASP calculation (GGA-PBEsol) on an optimized crystal structure of CrHgOs2.

Structure (extended XYZ):
```
4
Lattice="2.880 0.000 0.000 0.000 4.562 0.000 0.000 0.000 4.615" Properties=species:S:1:pos:R:3 pbc="T T T"
Cr 1.440 2.281 0.000
Hg 0.000 2.281 2.308
Os 0.000 0.000 0.000
Os 1.440 0.000 2.308
```

Computed properties:
The calculation puts the magnetic moment at 2.49 μB per formula unit. Its total energy is -7.95 eV per atom. For the energy of formation, the calculation gives 0.856 eV/atom. The value obtained for the theoretical density is 17.3 Mg/m³. As for the density of states at the Fermi level: 5.23 states/eV per cell. The calculated volume is 15.16 A^3/atom.

(3)
VASP calculation (GGA-PBEsol) on an optimized crystal structure of CrHgOs2.

Structure (extended XYZ):
```
4
Lattice="2.703 0.010 0.000 -1.254 2.394 0.000 0.000 0.000 9.280" Properties=species:S:1:pos:R:3 pbc="T T T"
Cr 0.000 0.000 4.829
Hg 0.724 1.202 2.409
Os 0.000 0.000 9.125
Os 0.724 1.202 6.838
```

Computed properties:
The calculation puts the magnetic moment at 0.00 μB per formula unit. Its total energy is -8.06 eV per atom. For the energy of formation, the calculation gives 0.751 eV/atom. The value obtained for the theoretical density is 17.5 Mg/m³. As for the density of states at the Fermi level: 5.21 states/eV per cell. The calculated volume is 15.04 A^3/atom.

(4)
VASP calculation (GGA-PBEsol) on an optimized crystal structure of CrHg3Os.

Structure (extended XYZ):
```
5
Lattice="-2.468 -2.510 -3.715 3.962 0.762 -3.148 2.097 -4.394 1.576" Properties=species:S:1:pos:R:3 pbc="T T T"
Cr 1.796 -3.071 -2.643
Os 0.000 0.000 0.000
Hg 1.981 0.381 -1.574
Hg 1.049 -2.197 0.788
Hg -1.234 -1.255 -1.857
```

Computed properties:
The calculation puts the magnetic moment at 4.77 μB per formula unit. Its total energy is -3.55 eV per atom. For the energy of formation, the calculation gives 1.286 eV/atom. The value obtained for the theoretical density is 10.5 Mg/m³. As for the density of states at the Fermi level: 3.69 states/eV per cell. The calculated volume is 26.81 A^3/atom.